[1]
Density functional theory data (PBE-GGA) for an optimized crystal structure of LaMgBPt.

Unit cell a=4.776 b=4.776 c=4.776 alpha=60.00 beta=60.00 gamma=60.00
Fractional coordinates of all 4 atoms:
La  0.000  0.000  0.000
Mg  0.500  0.500  0.500
B  0.250  0.250  0.250
Pt  0.750  0.750  0.750

Output
* magnetic moment: 0.00 μB/cell
* total DFT energy (no corrections): -4.89 eV per atom

[2]
Density functional theory data (PBE-GGA) for an optimized crystal structure of ZrBeSb.

Unit cell a=4.607 b=4.607 c=4.607 alpha=60.00 beta=60.00 gamma=60.00
Fractional coordinates of all 3 atoms:
Zr  0.000  0.000  0.000
Be  0.750  0.750  0.750
Sb  0.250  0.250  0.250

Output
* magnetic moment: 0.02 μB/cell
* total DFT energy (no corrections): -5.07 eV per atom

Question: What is the formula in the second record?
Answer: ZrBeSb